# MgTc2As (PBE, relaxed)
# Electronic total energy: -6.579 eV per atom
# Volume: 63.4 Å³/f.u.
data_MgTc2As
_cell_length_a 2.982
_cell_length_b 3.867
_cell_length_c 5.609
_cell_angle_alpha 90.00
_cell_angle_beta 101.19
_cell_angle_gamma 90.00
_space_group_name_H-M_alt 'P 1 2/m 1'
_space_group_IT_number 10
loop_
_space_group_symop_operation_xyz
'x,y,z'
'-x,-y,-z'
'-x,y,-z'
'x,-y,z'
loop_
_atom_site_label
_atom_site_fract_x
_atom_site_fract_y
_atom_site_fract_z
_atom_site_occupancy
Mg1 0.000 0.000 0.000 1
Tc1 0.354 0.500 0.727 1
As1 0.000 0.000 0.500 1

***

# Mg2TcAs (PBE, relaxed)
# Electronic total energy: -4.429 eV per atom
# Volume: 75.1 Å³/f.u.
data_Mg2TcAs
_cell_length_a 3.289
_cell_length_b 5.053
_cell_length_c 9.035
_cell_angle_alpha 90.00
_cell_angle_beta 90.00
_cell_angle_gamma 90.00
_space_group_name_H-M_alt 'C m m 2'
_space_group_IT_number 35
loop_
_space_group_symop_operation_xyz
'x,y,z'
'-x,-y,z'
'-x,y,z'
'x,-y,z'
'x+1/2,y+1/2,z'
'-x+1/2,-y+1/2,z'
'-x+1/2,y+1/2,z'
'x+1/2,-y+1/2,z'
loop_
_atom_site_label
_atom_site_fract_x
_atom_site_fract_y
_atom_site_fract_z
_atom_site_occupancy
Mg1 0.000 0.000 0.000 1
Mg2 0.000 0.500 0.293 1
Tc1 0.000 0.000 0.536 1
As1 0.000 0.500 0.733 1

***

# MgTc2As (PBE, relaxed)
# Electronic total energy: -6.773 eV per atom
# Volume: 63.8 Å³/f.u.
data_MgTc2As
_cell_length_a 3.085
_cell_length_b 3.085
_cell_length_c 6.699
_cell_angle_alpha 90.00
_cell_angle_beta 90.00
_cell_angle_gamma 90.00
_space_group_name_H-M_alt 'P 4 m m'
_space_group_IT_number 99
loop_
_space_group_symop_operation_xyz
'x,y,z'
'-y,x,z'
'-x,-y,z'
'y,-x,z'
'-x,y,z'
'y,x,z'
'x,-y,z'
'-y,-x,z'
loop_
_atom_site_label
_atom_site_fract_x
_atom_site_fract_y
_atom_site_fract_z
_atom_site_occupancy
Mg1 0.000 0.000 0.000 1
Tc1 0.000 0.000 0.500 1
Tc2 0.500 0.500 0.261 1
As1 0.500 0.500 0.707 1

***

# MgTcAs2 (PBE, relaxed)
# Electronic total energy: -5.417 eV per atom
# Volume: 70.2 Å³/f.u.
data_MgTcAs2
_cell_length_a 4.691
_cell_length_b 3.325
_cell_length_c 9.003
_cell_angle_alpha 90.00
_cell_angle_beta 90.00
_cell_angle_gamma 90.00
_space_group_name_H-M_alt 'A m m 2'
_space_group_IT_number 38
loop_
_space_group_symop_operation_xyz
'x,y,z'
'-x,-y,z'
'-x,y,z'
'x,-y,z'
'x,y+1/2,z+1/2'
'-x,-y+1/2,z+1/2'
'-x,y+1/2,z+1/2'
'x,-y+1/2,z+1/2'
loop_
_atom_site_label
_atom_site_fract_x
_atom_site_fract_y
_atom_site_fract_z
_atom_site_occupancy
Mg1 0.000 0.000 0.000 1
Tc1 0.500 0.000 0.610 1
As1 0.000 0.000 0.724 1
As2 0.500 0.000 0.328 1

***

# MgTcAs2 (PBE, relaxed)
# Electronic total energy: -5.172 eV per atom
# Volume: 66.9 Å³/f.u.
data_MgTcAs2
_cell_length_a 3.452
_cell_length_b 3.959
_cell_length_c 4.895
_cell_angle_alpha 90.00
_cell_angle_beta 90.00
_cell_angle_gamma 90.00
_space_group_name_H-M_alt 'P m m m'
_space_group_IT_number 47
loop_
_space_group_symop_operation_xyz
'x,y,z'
'-x,-y,-z'
'-x,-y,z'
'x,y,-z'
'x,-y,-z'
'-x,y,z'
'-x,y,-z'
'x,-y,z'
loop_
_atom_site_label
_atom_site_fract_x
_atom_site_fract_y
_atom_site_fract_z
_atom_site_occupancy
Mg1 0.000 0.000 0.000 1
Tc1 0.500 0.000 0.500 1
As1 0.000 0.500 0.500 1
As2 0.500 0.500 0.000 1

***

# MgTcAs (PBE, relaxed)
# Electronic total energy: -5.823 eV per atom
# Volume: 48.3 Å³/f.u.
data_MgTcAs
_cell_length_a 3.231
_cell_length_b 3.231
_cell_length_c 9.257
_cell_angle_alpha 90.00
_cell_angle_beta 90.00
_cell_angle_gamma 90.00
_space_group_name_H-M_alt 'I 4 m m'
_space_group_IT_number 107
_space_group_name_Hall 'I 4 -2'
loop_
_atom_site_label
_atom_site_fract_x
_atom_site_fract_y
_atom_site_fract_z
_atom_site_occupancy
Mg1 0.000 0.000 0.000 1
Tc1 0.000 0.000 0.311 1
As1 0.000 0.000 0.691 1

***

# MgTcAs2 (PBE, relaxed)
# Electronic total energy: -5.430 eV per atom
# Volume: 69.4 Å³/f.u.
data_MgTcAs2
_cell_length_a 8.088
_cell_length_b 3.275
_cell_length_c 5.336
_cell_angle_alpha 90.00
_cell_angle_beta 100.96
_cell_angle_gamma 90.00
_space_group_name_H-M_alt 'C 1 2/m 1'
_space_group_IT_number 12
loop_
_space_group_symop_operation_xyz
'x,y,z'
'-x,-y,-z'
'-x,y,-z'
'x,-y,z'
'x+1/2,y+1/2,z'
'-x+1/2,-y+1/2,-z'
'-x+1/2,y+1/2,-z'
'x+1/2,-y+1/2,z'
loop_
_atom_site_label
_atom_site_fract_x
_atom_site_fract_y
_atom_site_fract_z
_atom_site_occupancy
Mg1 0.000 0.000 0.000 1
Tc1 0.000 0.500 0.500 1
As1 0.233 0.000 0.710 1

***

# Mg2TcAs (PBE, relaxed)
# Electronic total energy: -4.623 eV per atom
# Volume: 74.2 Å³/f.u.
data_Mg2TcAs
_cell_length_a 3.994
_cell_length_b 3.558
_cell_length_c 10.440
_cell_angle_alpha 90.00
_cell_angle_beta 90.00
_cell_angle_gamma 90.00
_space_group_name_H-M_alt 'A m m 2'
_space_group_IT_number 38
loop_
_space_group_symop_operation_xyz
'x,y,z'
'-x,-y,z'
'-x,y,z'
'x,-y,z'
'x,y+1/2,z+1/2'
'-x,-y+1/2,z+1/2'
'-x,y+1/2,z+1/2'
'x,-y+1/2,z+1/2'
loop_
_atom_site_label
_atom_site_fract_x
_atom_site_fract_y
_atom_site_fract_z
_atom_site_occupancy
Mg1 0.000 0.000 0.000 1
Mg2 0.500 0.000 0.325 1
Tc1 0.500 0.000 0.599 1
As1 0.000 0.000 0.725 1

***

# MgTiTc2As (PBE, relaxed)
# Electronic total energy: -5.465 eV per atom
# Volume: 95.8 Å³/f.u.
data_MgTiTc2As
_cell_length_a 4.617
_cell_length_b 4.617
_cell_length_c 4.493
_cell_angle_alpha 90.00
_cell_angle_beta 90.00
_cell_angle_gamma 90.00
_space_group_name_H-M_alt 'P 4/m m m'
_space_group_IT_number 123
_space_group_name_Hall '-P 4 2'
loop_
_atom_site_label
_atom_site_fract_x
_atom_site_fract_y
_atom_site_fract_z
_atom_site_occupancy
Mg1 0.000 0.000 0.000 1
Ti1 0.500 0.500 0.500 1
Tc1 0.000 0.500 0.000 1
As1 0.000 0.000 0.500 1

***

# MgVTcAs2 (PBE, relaxed)
# Electronic total energy: -5.172 eV per atom
# Volume: 110.9 Å³/f.u.
data_MgVTcAs2
_cell_length_a 4.749
_cell_length_b 4.749
_cell_length_c 4.917
_cell_angle_alpha 90.00
_cell_angle_beta 90.00
_cell_angle_gamma 90.00
_space_group_name_H-M_alt 'P 4/m m m'
_space_group_IT_number 123
_space_group_name_Hall '-P 4 2'
loop_
_atom_site_label
_atom_site_fract_x
_atom_site_fract_y
_atom_site_fract_z
_atom_site_occupancy
Mg1 0.000 0.000 0.000 1
V1 0.500 0.500 0.000 1
Tc1 0.000 0.000 0.500 1
As1 0.000 0.500 0.500 1

***

# MgTe2As (PBE, relaxed)
# Energy relative to the elements, uncorrected: -218 meV per atom
# Electronic total energy: -3.350 eV per atom
# Volume: 108.5 Å³/f.u.
data_MgTe2As
_cell_length_a 4.2568
_cell_length_b 4.2568
_cell_length_c 20.7444
_cell_angle_alpha 90.00
_cell_angle_beta 90.00
_cell_angle_gamma 120.00
_space_group_name_H-M_alt 'R -3 m'
_space_group_IT_number 166
_space_group_name_Hall '-R 3 2"'
loop_
_atom_site_label
_atom_site_fract_x
_atom_site_fract_y
_atom_site_fract_z
_atom_site_occupancy
Mg1 0.0000 0.0000 0.0000 1
Te1 0.0000 0.0000 0.2480 1
As1 0.0000 0.0000 0.5000 1

***

# MgTe2As (PBE, relaxed)
# Energy relative to the elements, uncorrected: -149 meV per atom
# Electronic total energy: -3.281 eV per atom
# Volume: 120.8 Å³/f.u.
data_MgTe2As
_cell_length_a 3.556
_cell_length_b 4.038
_cell_length_c 16.826
_cell_angle_alpha 90.00
_cell_angle_beta 90.00
_cell_angle_gamma 90.00
_space_group_name_H-M_alt 'I m m 2'
_space_group_IT_number 44
loop_
_space_group_symop_operation_xyz
'x,y,z'
'-x,-y,z'
'-x,y,z'
'x,-y,z'
'x+1/2,y+1/2,z+1/2'
'-x+1/2,-y+1/2,z+1/2'
'-x+1/2,y+1/2,z+1/2'
'x+1/2,-y+1/2,z+1/2'
loop_
_atom_site_label
_atom_site_fract_x
_atom_site_fract_y
_atom_site_fract_z
_atom_site_occupancy
Mg1 0.000 0.000 0.000 1
Te1 0.000 0.000 0.425 1
Te2 0.000 0.500 0.196 1
As1 0.000 0.500 0.640 1

***

# MgTe2As (PBE, relaxed)
# Energy relative to the elements, uncorrected: -230 meV per atom
# Electronic total energy: -3.362 eV per atom
# Volume: 114.7 Å³/f.u.
data_MgTe2As
_cell_length_a 12.655
_cell_length_b 4.218
_cell_length_c 4.299
_cell_angle_alpha 90.00
_cell_angle_beta 90.21
_cell_angle_gamma 90.00
_space_group_name_H-M_alt 'C 1 m 1'
_space_group_IT_number 8
loop_
_space_group_symop_operation_xyz
'x,y,z'
'x,-y,z'
'x+1/2,y+1/2,z'
'x+1/2,-y+1/2,z'
loop_
_atom_site_label
_atom_site_fract_x
_atom_site_fract_y
_atom_site_fract_z
_atom_site_occupancy
Mg1 0.000 0.000 0.000 1
Te1 0.223 0.000 0.007 1
Te2 0.488 0.000 0.502 1
As1 0.199 0.500 0.507 1

***

# MgTe2As (PBE, relaxed)
# Energy relative to the elements, uncorrected: -241 meV per atom
# Electronic total energy: -3.373 eV per atom
# Volume: 115.6 Å³/f.u.
data_MgTe2As
_cell_length_a 4.589
_cell_length_b 5.420
_cell_length_c 4.738
_cell_angle_alpha 90.00
_cell_angle_beta 101.11
_cell_angle_gamma 90.00
_space_group_name_H-M_alt 'P 1 m 1'
_space_group_IT_number 6
loop_
_space_group_symop_operation_xyz
'x,y,z'
'x,-y,z'
loop_
_atom_site_label
_atom_site_fract_x
_atom_site_fract_y
_atom_site_fract_z
_atom_site_occupancy
Mg1 0.000 0.000 0.000 1
Te1 0.158 0.500 0.829 1
Te2 0.589 0.000 0.411 1
As1 0.762 0.500 0.351 1

***

# Mg3TeAs (PBE, relaxed)
# Energy relative to the elements, uncorrected: -312 meV per atom
# Electronic total energy: -2.827 eV per atom
# Volume: 132.7 Å³/f.u.
data_Mg3TeAs
_cell_length_a 5.101
_cell_length_b 5.101
_cell_length_c 5.101
_cell_angle_alpha 90.00
_cell_angle_beta 90.00
_cell_angle_gamma 90.00
_space_group_name_H-M_alt 'P m -3 m'
_space_group_IT_number 221
_space_group_name_Hall '-P 4 2 3'
loop_
_atom_site_label
_atom_site_fract_x
_atom_site_fract_y
_atom_site_fract_z
_atom_site_occupancy
Mg1 0.000 0.000 0.500 1
Te1 0.500 0.500 0.500 1
As1 0.000 0.000 0.000 1